# 1
A relaxed structure of MgCr3Bi. Source: Alexandria via LeMat-Bulk, functional PBE.

The density of states at the Fermi level comes out at 0.776 states/eV/atom. The total DFT energy (no corrections) is -5.478 eV per atom. The calculation puts the magnetization at 12.8 μB per cell. For the formation energy, the calculation gives 1.391 eV per atom. The calculated volume comes out at 24.49 A^3/atom. The distance to the lowest polymorph of the same formula comes out at 7.2 kJ/mol of atoms.

It has space group Pm-3m (No. 221), with a = 4.966 Å, b = 4.966 Å, c = 4.966 Å, α = 90.00°, β = 90.00° and γ = 90.00°. The distinct sites, in fractional coordinates, are Mg at (0.000, 0.000, 0.000), Cr at (0.000, 0.000, 0.500) and Bi at (0.500, 0.500, 0.500).

# 2
A relaxed structure of MgCr3Bi. Source: Alexandria via LeMat-Bulk, functional PBE.

The density of states at the Fermi level comes out at 0.531 states/eV/atom. The total DFT energy (no corrections) is -5.553 eV per atom. The calculation puts the magnetization at 13.2 μB per cell. For the formation energy, the calculation gives 1.316 eV per atom. The calculated volume comes out at 29.61 A^3/atom. The distance to the lowest polymorph of the same formula comes out at 0.0 kJ/mol of atoms.

It has space group Pm-3m (No. 221), with a = 5.290 Å, b = 5.290 Å, c = 5.290 Å, α = 90.00°, β = 90.00° and γ = 90.00°. The distinct sites, in fractional coordinates, are Mg at (0.000, 0.000, 0.000), Cr at (0.000, 0.500, 0.500) and Bi at (0.500, 0.500, 0.500).

# 3
A relaxed structure of Mg3CrBi. Source: Alexandria via LeMat-Bulk, functional PBE.

The density of states at the Fermi level comes out at 0.561 states/eV/atom. The total DFT energy (no corrections) is -2.806 eV per atom. The calculation puts the magnetization at 4.8 μB per cell. For the formation energy, the calculation gives 0.852 eV per atom. The calculated volume comes out at 33.78 A^3/atom. The distance to the lowest polymorph of the same formula comes out at 19.9 kJ/mol of atoms.

It has space group Pm-3m (No. 221), with a = 5.528 Å, b = 5.528 Å, c = 5.528 Å, α = 90.00°, β = 90.00° and γ = 90.00°. The distinct sites, in fractional coordinates, are Mg at (0.000, 0.000, 0.500), Cr at (0.500, 0.500, 0.500) and Bi at (0.000, 0.000, 0.000).

> What is the total DFT energy (no corrections) in the first record?

-5.478 eV per atom